Record 1
! Cu2NiP (GGA-PBEsol, optimized geometry); values from VASP
&SYSTEM
  ibrav = 0, nat = 4, ntyp = 3
/
ATOMIC_SPECIES
Cu 63.55 Cu.upf
Ni 58.69 Ni.upf
P 30.97 P.upf
CELL_PARAMETERS angstrom
-1.782 1.782 3.476
1.782 -1.782 3.476
1.782 1.782 -3.476
ATOMIC_POSITIONS crystal
Cu 0.000 0.000 0.000
Cu 0.750 0.250 0.500
Ni 0.500 0.500 0.000
P 0.250 0.750 0.500
! DOS at the Fermi energy	1.4	states/eV/f.u.
! calculated density	8.1	g cm⁻³
! E_tot	-5.253	eV/atom

Record 2
! CuNiP2 (GGA-PBEsol, optimized geometry); values from VASP
&SYSTEM
  ibrav = 0, nat = 4, ntyp = 3
/
ATOMIC_SPECIES
Cu 63.55 Cu.upf
Ni 58.69 Ni.upf
P 30.97 P.upf
CELL_PARAMETERS angstrom
2.536 0.000 0.000
0.000 3.349 0.000
-1.283 0.000 5.960
ATOMIC_POSITIONS crystal
Cu 0.000 0.000 0.000
Ni 0.376 0.500 0.754
P 0.596 0.500 0.190
P 0.790 0.000 0.583
! DOS at the Fermi energy	1.9	states/eV/f.u.
! calculated density	6.0	g cm⁻³
! E_tot	-5.567	eV/atom

Record 3
! CuNiP2 (GGA-PBEsol, optimized geometry); values from VASP
&SYSTEM
  ibrav = 0, nat = 4, ntyp = 3
/
ATOMIC_SPECIES
Cu 63.55 Cu.upf
Ni 58.69 Ni.upf
P 30.97 P.upf
CELL_PARAMETERS angstrom
3.361 0.000 0.000
0.000 3.788 0.000
0.000 0.000 3.800
ATOMIC_POSITIONS crystal
Cu 0.000 0.000 0.000
Ni 0.000 0.500 0.500
P 0.500 0.000 0.500
P 0.500 0.500 0.000
! DOS at the Fermi energy	1.3	states/eV/f.u.
! calculated density	6.3	g cm⁻³
! E_tot	-5.422	eV/atom